A relaxed structure of Pm2Sm3Dy5. Source: Alexandria via LeMat-Bulk, functional PBE-GGA.

a b c (Å): 9.3863 9.3964 11.1898
angles (deg): 124.66 124.64 69.21
Last column: nearest neighbours and their distance in Å.
Atoms (fractional coordinates):
Pm: 0.7744 0.0131 0.7418  2 Sm 3.14-3.31, 4 Dy 3.31-3.50
Pm: 0.2256 0.9869 0.2582  2 Sm 3.14-3.31, 4 Dy 3.31-3.50
Pm: 0.4674 0.7287 0.7418  2 Sm 3.14-3.31, 4 Dy 3.31-3.50
Pm: 0.5326 0.2713 0.2582  2 Sm 3.14-3.31, 4 Dy 3.31-3.50
Sm: 0.2309 0.9809 0.9618  4 Pm 3.31-3.53, 3 Dy 3.38-3.60, 2 Sm 3.48
Sm: 0.7691 0.0191 0.0382  4 Pm 3.31-3.53, 3 Dy 3.38-3.60, 2 Sm 3.48
Sm: 0.7306 0.4689 0.2480  1 Pm 3.14, 4 Dy 3.32-3.47, 1 Sm 3.48
Sm: 0.2694 0.5311 0.7520  1 Pm 3.14, 4 Dy 3.32-3.47, 1 Sm 3.48
Sm: 0.0174 0.7791 0.2480  1 Pm 3.14, 4 Dy 3.32-3.47, 1 Sm 3.48
Sm: 0.9826 0.2209 0.7520  1 Pm 3.14, 4 Dy 3.32-3.47, 1 Sm 3.48
Dy: 0.2751 0.5251 0.0502  1 Dy 3.20, 4 Sm 3.34-3.53, 2 Pm 3.57
Dy: 0.7249 0.4749 0.9498  1 Dy 3.20, 4 Sm 3.34-3.53, 2 Pm 3.57
Dy: 0.0219 0.7719 0.5438  5 Sm 3.32-3.47, 2 Pm 3.44, 2 Dy 3.53
Dy: 0.5272 0.2772 0.5545  1 Dy 3.20, 4 Pm 3.31-3.50, 2 Sm 3.52
Dy: 0.9781 0.2281 0.4562  5 Sm 3.32-3.47, 2 Pm 3.44, 2 Dy 3.53
Dy: 0.4728 0.7228 0.4455  1 Dy 3.20, 4 Pm 3.31-3.50, 2 Sm 3.52
Dy: 0.8604 0.6072 0.7434  3 Sm 3.44-3.60, 2 Pm 3.45-3.62, 3 Dy 3.53-3.64
Dy: 0.1396 0.3928 0.2566  3 Sm 3.44-3.60, 2 Pm 3.45-3.62, 3 Dy 3.53-3.64
Dy: 0.3830 0.1362 0.7434  3 Sm 3.44-3.60, 2 Pm 3.45-3.62, 3 Dy 3.53-3.64
Dy: 0.6170 0.8638 0.2566  3 Sm 3.44-3.60, 2 Pm 3.45-3.62, 3 Dy 3.53-3.64

Offset from the most stable computed form in meV per atom: 0
DOS(E_F) in states/eV/f.u.: 18.039
VASP energy in eV/atom: -4.478
ΔE_f in kJ/mol of atoms: 18
SG: C2/c, No. 15

=====

A relaxed structure of RbCaF4. Source: Alexandria via LeMat-Bulk, functional PBE-GGA.

a b c (Å): 6.1019 6.1043 7.2354
angles (deg): 115.02 115.02 90.00
Last column: nearest neighbours and their distance in Å.
Atoms (fractional coordinates):
Ca: 0.0007 0.9997 0.0003  8 F 2.40-2.41
Ca: 0.7493 0.2503 0.4997  8 F 2.40-2.41
Rb: 0.4999 0.5001 0.0001  8 F 2.83
Rb: 0.2501 0.7499 0.5000  8 F 2.83
F: 0.3749 0.9338 0.2502  1 F 2.33, 2 Ca 2.40
F: 0.0650 0.1249 0.7498  1 F 2.32, 2 Ca 2.41
F: 0.3749 0.3160 0.2497  1 F 2.33, 2 Ca 2.40
F: 0.8747 0.3150 0.2497  1 F 2.32, 2 Ca 2.41
F: 0.0658 0.6251 0.7498  1 F 2.33, 2 Ca 2.40
F: 0.8751 0.9349 0.2502  1 F 2.32, 2 Ca 2.41
F: 0.6844 0.6251 0.7504  1 F 2.33, 2 Ca 2.40
F: 0.6852 0.1254 0.7504  1 F 2.32, 2 Ca 2.41

DOS(E_F) in states/eV/f.u.: 6.058
VASP energy in eV/atom: -4.566
Formation energy from raw total energies in meV per atom: -2823
SG: C2/c, No. 15

=====

A relaxed structure of BaCrCuS3. Source: Alexandria via LeMat-Bulk, functional PBE-GGA.

a b c (Å): 3.8353 7.7481 8.8171
angles (deg): 108.98 90.00 90.00
Last column: nearest neighbours and their distance in Å.
Atoms (fractional coordinates):
Ba: 0.2500 0.2214 0.2613  7 S 3.14-3.31, 1 Cu 3.44
Ba: 0.7500 0.7786 0.7387  7 S 3.14-3.31, 1 Cu 3.44
Cr: 0.2500 0.6727 0.1484  6 S 2.39-2.51
Cr: 0.7500 0.3273 0.8516  6 S 2.39-2.51
Cu: 0.2500 0.0849 0.5960  4 S 2.30-2.45
Cu: 0.7500 0.9151 0.4040  4 S 2.30-2.45
S: 0.7500 0.8751 0.1336  1 Cu 2.30, 2 Cr 2.51
S: 0.2500 0.1249 0.8664  1 Cu 2.30, 2 Cr 2.51
S: 0.2500 0.7578 0.4439  3 Cu 2.36-2.45, 1 Cr 2.47
S: 0.7500 0.2422 0.5561  3 Cu 2.36-2.45, 1 Cr 2.47
S: 0.7500 0.4679 0.1369  3 Cr 2.39-2.47
S: 0.2500 0.5321 0.8631  3 Cr 2.39-2.47

DOS(E_F) in states/eV/f.u.: 0.133
VASP energy in eV/atom: -5.701
Formation energy from raw total energies in meV per atom: -1030
SG: P2_1/m, No. 11

=====

A relaxed structure of Cd2HgPbAu. Source: Alexandria via LeMat-Bulk, functional PBE-GGA.

a b c (Å): 5.3281 5.3281 5.5421
angles (deg): 90.00 90.00 90.00
Last column: nearest neighbours and their distance in Å.
Atoms (fractional coordinates):
Pb: 0.0000 0.0000 0.5000  2 Au 2.77
Au: 0.0000 0.0000 0.0000  4 Cd 2.66, 2 Pb 2.77
Hg: 0.5000 0.5000 0.5000  4 Pb 3.77, 8 Cd 3.84
Cd: 0.0000 0.5000 0.0000  2 Au 2.66
Cd: 0.5000 0.0000 0.0000  2 Au 2.66

DOS(E_F) in states/eV/f.u.: 1.669
VASP energy in eV/atom: -1.726
ΔE_f in kJ/mol of atoms: 9
SG: P4/mmm, No. 123

=====

> Which value of VASP energy does entry 2 give?

-4.566 eV/atom

=====

> Which value of DOS(E_F) does entry 2 give?

6.058 states/eV/f.u.

=====

> What is the VASP energy in the first record?

-4.478 eV/atom